Entry from Alexandria via LeMat-Bulk: a relaxed IrSeS crystal (GGA-PBE).

Computed properties:
formation energy (no corrections): -0.263 eV/atom
SG: Pmn2_1
E: -5.754 eV/atom
total magnetization: 0.0000 μB/atom
ΔE to the lowest computed polymorph: 0.005 eV per atom

abc: 3.747 5.046 5.840
angles: 90.00 90.00 90.00
Atoms (fractional coordinates):
Ir 0.000 0.232 0.000
Ir 0.500 0.768 0.500
Se 0.000 0.475 0.622
Se 0.500 0.525 0.122
S 0.000 0.014 0.359
S 0.500 0.986 0.859

Entry from Alexandria via LeMat-Bulk: a relaxed Ir3SeS crystal (GGA-PBE).

Computed properties:
formation energy (no corrections): 1.641 eV/atom
SG: Pm-3m
E: -5.198 eV/atom
total magnetization: 0.0002 μB/atom
ΔE to the lowest computed polymorph: 0.591 eV per atom

abc: 4.612 4.612 4.612
angles: 90.00 90.00 90.00
Atoms (fractional coordinates):
Ir 0.000 0.000 0.500
Ir 0.000 0.500 0.000
Ir 0.500 0.000 0.000
Se 0.000 0.000 0.000
S 0.500 0.500 0.500

Entry from Alexandria via LeMat-Bulk: a relaxed Sm6IrSe3S2 crystal (GGA-PBE).

Computed properties:
formation energy (no corrections): -1.709 eV/atom
SG: C2/m
E: -6.366 eV/atom
total magnetization: 0.0000 μB/atom

abc: 9.298 9.298 8.355
angles: 103.48 103.48 25.28
Atoms (fractional coordinates):
Sm 0.003 0.003 0.233
Sm 0.330 0.330 0.428
Sm 0.338 0.338 0.909
Sm 0.662 0.662 0.091
Sm 0.670 0.670 0.572
Sm 0.997 0.997 0.767
Ir 0.500 0.500 0.000
Se 0.169 0.169 0.830
Se 0.500 0.500 0.500
Se 0.831 0.831 0.170
S 0.168 0.168 0.335
S 0.832 0.832 0.665

Entry from Alexandria via LeMat-Bulk: a relaxed Sm6Ir2Se3S crystal (GGA-PBE).

Computed properties:
formation energy (no corrections): -1.474 eV/atom
SG: C2/m
E: -6.526 eV/atom
total magnetization: 0.0000 μB/atom

abc: 9.440 9.440 8.509
angles: 105.50 105.50 25.01
Atoms (fractional coordinates):
Sm 0.010 0.010 0.248
Sm 0.329 0.329 0.425
Sm 0.333 0.333 0.888
Sm 0.667 0.667 0.112
Sm 0.671 0.671 0.575
Sm 0.990 0.990 0.752
Ir 0.168 0.168 0.339
Ir 0.832 0.832 0.661
Se 0.161 0.161 0.843
Se 0.500 0.500 0.500
Se 0.839 0.839 0.157
S 0.500 0.500 0.000

Entry from Alexandria via LeMat-Bulk: a relaxed Sm4IrSeS2 crystal (GGA-PBE).

Computed properties:
formation energy (no corrections): -1.604 eV/atom
SG: P2/m
E: -6.538 eV/atom
total magnetization: 0.0000 μB/atom

abc: 7.141 4.045 7.193
angles: 90.00 108.92 90.00
Atoms (fractional coordinates):
Sm 0.243 0.000 0.235
Sm 0.255 0.500 0.763
Sm 0.745 0.500 0.237
Sm 0.757 0.000 0.765
Ir 0.000 0.500 0.000
Se 0.000 0.000 0.500
S 0.500 0.000 0.000
S 0.500 0.500 0.500

Entry from Alexandria via LeMat-Bulk: a relaxed SnIrSe2S crystal (GGA-PBE).

Computed properties:
formation energy (no corrections): 1.049 eV/atom
SG: P4/mmm
E: -3.743 eV/atom
total magnetization: 0.0800 μB/atom
ΔE to the lowest computed polymorph: 0.000 eV per atom

abc: 4.691 4.691 5.160
angles: 90.00 90.00 90.00
Atoms (fractional coordinates):
Sn 0.000 0.000 0.000
Ir 0.500 0.500 0.000
Se 0.000 0.500 0.500
Se 0.500 0.000 0.500
S 0.000 0.000 0.500

Entry from Alexandria via LeMat-Bulk: a relaxed SnIrSe2S crystal (GGA-PBE).

Computed properties:
formation energy (no corrections): 1.430 eV/atom
SG: P4/mmm
E: -3.362 eV/atom
total magnetization: 0.6333 μB/atom
ΔE to the lowest computed polymorph: 0.381 eV per atom

abc: 5.251 5.251 5.100
angles: 90.00 90.00 90.00
Atoms (fractional coordinates):
Sn 0.000 0.000 0.000
Ir 0.000 0.000 0.500
Se 0.000 0.500 0.000
Se 0.500 0.000 0.000
S 0.500 0.500 0.500

Entry from Alexandria via LeMat-Bulk: a relaxed SrIr2SeS crystal (GGA-PBE).

Computed properties:
formation energy (no corrections): 2.368 eV/atom
SG: P4/mmm
E: -3.035 eV/atom
total magnetization: 0.5855 μB/atom

abc: 5.222 5.222 5.559
angles: 90.00 90.00 90.00
Atoms (fractional coordinates):
Sr 0.000 0.000 0.000
Ir 0.000 0.500 0.000
Ir 0.500 0.000 0.000
Se 0.000 0.000 0.500
S 0.500 0.500 0.500